Run a
A relaxed structure of MoRhW, computed with PBE.

abc: 6.024 6.024 6.024
angles: 90.00 90.00 90.00
Space group F-43m (No. 216)
One atom of each set of equivalent atoms:
Mo: 0.000 0.000 0.000 (multiplicity 4)
Rh: 0.000 0.000 0.500 (multiplicity 4)
W: 0.250 0.250 0.750 (multiplicity 4)

Mass density in Mg/m³: 11.63
Total magnetization in Bohr magnetons per cell: 0.0
V in Å³ per cell: 219

Run b
A relaxed structure of MoRhW, computed with PBE.

abc: 2.7655 2.7655 7.0240
angles: 90.00 90.00 120.00
Space group P3m1 (No. 156)
One atom of each set of equivalent atoms:
Mo: 0.0000 0.0000 0.0000 (multiplicity 1)
Rh: 0.6667 0.3333 0.3246 (multiplicity 1)
W: 0.3333 0.6667 0.6470 (multiplicity 1)

Mass density in Mg/m³: 13.66
Total magnetization in Bohr magnetons per cell: 0.0
V in Å³ per cell: 47

Among the structures above, stability is smallest for run a.